The following is a GGA-PBE calculation of an optimized crystal structure of BaSn2PtAu, from the Open Quantum Materials Database.

**DFT total energy**: -4.571 eV per atom
**Crystal system**: tetragonal

Lattice parameters (Å, degrees): 4.8525 4.8525 10.8923 90.00 90.00 90.00
Last column: nearest neighbours and their distance in Å.
Atoms (fractional coordinates):
Ba (0.2500, 0.2500, 0.2475)  4 Au 3.63, 8 Sn 3.64-3.67, 5 Pt 3.73-4.03
Ba (0.7500, 0.7500, 0.7525)  4 Au 3.63, 8 Sn 3.64-3.67, 5 Pt 3.73-4.03
Sn (0.2500, 0.2500, 0.8651)  1 Pt 2.70, 4 Au 2.84
Sn (0.2500, 0.7500, 0.5000)  4 Pt 2.74
Sn (0.7500, 0.2500, 0.5000)  4 Pt 2.74
Sn (0.7500, 0.7500, 0.1349)  1 Pt 2.70, 4 Au 2.84
Pt (0.2500, 0.2500, 0.6175)  5 Sn 2.70-2.74
Pt (0.7500, 0.7500, 0.3825)  5 Sn 2.70-2.74
Au (0.2500, 0.7500, 0.0000)  4 Sn 2.84
Au (0.7500, 0.2500, 0.0000)  4 Sn 2.84



The following is a GGA-PBE calculation of an optimized crystal structure of Cs2NdAgCl6, from the Open Quantum Materials Database.

**DFT total energy**: -3.875 eV per atom
**Crystal system**: monoclinic

Lattice parameters (Å, degrees): 7.7177 7.7177 7.7173 119.97 119.97 60.03
Last column: nearest neighbours and their distance in Å.
Atoms (fractional coordinates):
Cs (0.2502, 0.2502, 0.2500)  12 Cl 3.85-3.87
Cs (0.7498, 0.7498, 0.7500)  12 Cl 3.85-3.87
Nd (0.0000, 0.0000, 0.5000)  6 Cl 2.72
Ag (0.5000, 0.5000, 0.0000)  6 Cl 2.73
Cl (0.2488, 0.7500, 0.7490)  1 Nd 2.72, 1 Ag 2.73
Cl (0.2495, 0.2495, 0.7504)  1 Nd 2.72, 1 Ag 2.73
Cl (0.2500, 0.7512, 0.2510)  1 Nd 2.72, 1 Ag 2.73
Cl (0.7500, 0.2488, 0.7490)  1 Nd 2.72, 1 Ag 2.73
Cl (0.7505, 0.7505, 0.2496)  1 Nd 2.72, 1 Ag 2.73
Cl (0.7512, 0.2500, 0.2510)  1 Nd 2.72, 1 Ag 2.73



The following is a GGA-PBE calculation of an optimized crystal structure of K2ReSb2, from the Open Quantum Materials Database.

**DFT total energy**: -4.516 eV per atom
**Crystal system**: orthorhombic

Lattice parameters (Å, degrees): 8.9488 8.9488 5.4139 90.00 90.00 132.48
Last column: nearest neighbours and their distance in Å.
Atoms (fractional coordinates):
K (0.0853, 0.9147, 0.7500)  6 Sb 3.34-3.64
K (0.2897, 0.7103, 0.2500)  6 Sb 3.62-3.64, 2 Re 3.70
K (0.7103, 0.2897, 0.7500)  6 Sb 3.62-3.64, 2 Re 3.70
K (0.9147, 0.0853, 0.2500)  6 Sb 3.34-3.64
Re (0.5000, 0.5000, 0.0000)  2 Re 2.71, 4 Sb 2.73
Re (0.5000, 0.5000, 0.5000)  2 Re 2.71, 4 Sb 2.73
Sb (0.1660, 0.3715, 0.7500)  2 Re 2.73
Sb (0.3715, 0.1660, 0.2500)  2 Re 2.73
Sb (0.6285, 0.8340, 0.7500)  2 Re 2.73
Sb (0.8340, 0.6285, 0.2500)  2 Re 2.73



The following is a GGA-PBE calculation of an optimized crystal structure of NaAlZnP2O8, from the Open Quantum Materials Database.

**DFT total energy**: -6.706 eV per atom
**Crystal system**: triclinic

Lattice parameters (Å, degrees): 8.1045 8.7587 9.4489 90.86 93.85 95.90
Last column: nearest neighbours and their distance in Å.
Atoms (fractional coordinates):
Na (0.1781, 0.4227, 0.3644)  6 O 2.31-2.51
Na (0.3051, 0.0712, 0.0329)  5 O 2.27-2.46
Na (0.6949, 0.9288, 0.9671)  5 O 2.27-2.46
Na (0.8219, 0.5773, 0.6356)  6 O 2.31-2.51
Al (0.1306, 0.4389, 0.8063)  4 O 1.73-1.75
Al (0.4415, 0.7587, 0.5391)  4 O 1.72-1.76
Al (0.5585, 0.2413, 0.4609)  4 O 1.72-1.76
Al (0.8694, 0.5611, 0.1937)  4 O 1.73-1.75
Zn (0.0040, 0.9664, 0.6959)  4 O 1.92-1.95
Zn (0.3777, 0.7193, 0.0666)  4 O 1.92-1.98
Zn (0.6223, 0.2807, 0.9334)  4 O 1.92-1.98
Zn (0.9960, 0.0336, 0.3041)  4 O 1.92-1.95
P (0.0138, 0.7442, 0.9405)  4 O 1.53-1.55
P (0.0873, 0.7466, 0.4418)  4 O 1.53-1.57
P (0.3946, 0.0753, 0.7089)  4 O 1.53-1.55
P (0.4857, 0.4299, 0.2020)  4 O 1.53-1.57
P (0.5143, 0.5701, 0.7980)  4 O 1.53-1.57
P (0.6054, 0.9247, 0.2911)  4 O 1.53-1.55
P (0.9127, 0.2534, 0.5582)  4 O 1.53-1.57
P (0.9862, 0.2558, 0.0595)  4 O 1.53-1.55
O (0.0136, 0.2102, 0.4351)  1 P 1.53
O (0.0238, 0.3831, 0.6438)  1 P 1.56
O (0.0334, 0.6032, 0.8433)  1 P 1.55
O (0.0844, 0.1431, 0.1440)  1 P 1.53
O (0.0951, 0.3070, 0.9377)  1 P 1.54
O (0.1493, 0.8828, 0.3540)  1 P 1.53
O (0.1854, 0.8180, 0.9963)  1 P 1.53
O (0.2150, 0.0831, 0.7454)  1 P 1.53
O (0.2416, 0.6635, 0.4955)  1 P 1.57
O (0.3425, 0.4750, 0.7902)  1 P 1.54
O (0.3462, 0.5339, 0.1720)  1 P 1.54
O (0.4183, 0.9222, 0.6359)  1 P 1.53
O (0.4446, 0.2078, 0.6082)  1 P 1.55, 1 Al 1.73
O (0.4522, 0.3662, 0.3528)  1 P 1.57
O (0.4808, 0.2968, 0.0950)  1 P 1.53
O (0.4941, 0.9092, 0.1519)  1 P 1.54
O (0.5059, 0.0908, 0.8481)  1 P 1.54
O (0.5192, 0.7032, 0.9050)  1 P 1.53
O (0.5478, 0.6338, 0.6472)  1 P 1.57
O (0.5554, 0.7922, 0.3918)  1 P 1.55, 1 Al 1.73
O (0.5817, 0.0778, 0.3641)  1 P 1.53
O (0.6538, 0.4661, 0.8280)  1 P 1.54
O (0.6575, 0.5250, 0.2098)  1 P 1.54
O (0.7584, 0.3365, 0.5045)  1 P 1.57
O (0.7850, 0.9169, 0.2546)  1 P 1.53
O (0.8146, 0.1820, 0.0037)  1 P 1.53
O (0.8507, 0.1172, 0.6460)  1 P 1.53
O (0.9049, 0.6930, 0.0623)  1 P 1.54
O (0.9156, 0.8569, 0.8560)  1 P 1.53
O (0.9666, 0.3968, 0.1567)  1 P 1.55
O (0.9762, 0.6169, 0.3562)  1 P 1.56
O (0.9864, 0.7898, 0.5649)  1 P 1.53



The following is a GGA-PBE calculation of an optimized crystal structure of BaPrAgTe3, from the Open Quantum Materials Database.

**DFT total energy**: -4.385 eV per atom
**Crystal system**: monoclinic

Lattice parameters (Å, degrees): 10.3278 10.3278 9.3521 102.04 102.04 25.77
Last column: nearest neighbours and their distance in Å.
Atoms (fractional coordinates):
Ba (0.1295, 0.1295, 0.0759)  7 Te 3.44-3.72
Ba (0.8705, 0.8705, 0.9241)  7 Te 3.44-3.72
Pr (0.1646, 0.1646, 0.5914)  6 Te 3.18-3.24
Pr (0.8354, 0.8354, 0.4086)  6 Te 3.18-3.24
Ag (0.4629, 0.4629, 0.2914)  4 Te 2.89-3.01
Ag (0.5371, 0.5371, 0.7086)  4 Te 2.89-3.01
Te (0.0000, 0.0000, 0.5000)  4 Ag 3.01, 2 Pr 3.24
Te (0.3188, 0.3188, 0.1676)  1 Ag 2.89, 2 Pr 3.19
Te (0.3281, 0.3281, 0.6392)  3 Pr 3.18-3.23, 2 Ba 3.49
Te (0.5000, 0.5000, 0.0000)  2 Ag 2.98
Te (0.6719, 0.6719, 0.3608)  3 Pr 3.18-3.23, 2 Ba 3.49
Te (0.6812, 0.6812, 0.8324)  1 Ag 2.89, 2 Pr 3.19



The following is a GGA-PBE calculation of an optimized crystal structure of ScPaBi, from the Open Quantum Materials Database.

**DFT total energy**: -5.927 eV per atom
**Energy relative to the lowest polymorph listed for this composition**: 0.734 eV/f.u.
**Crystal system**: cubic

Lattice parameters (Å, degrees): 5.2252 5.2252 5.2252 60.00 60.00 60.00
Last column: nearest neighbours and their distance in Å.
Atoms (fractional coordinates):
Sc (0.0000, 0.0000, 0.0000)  4 Pa 3.20
Pa (0.7500, 0.7500, 0.7500)  4 Bi 3.20, 4 Sc 3.20
Bi (0.5000, 0.5000, 0.5000)  4 Pa 3.20



> Look up the DFT total energy of the fourth one.

-6.706 eV per atom



> What is the DFT total energy in the fourth record?

-6.706 eV per atom



> What is the formula in the first record?

BaSn2PtAu